Density functional theory data (PBE-GGA) for a geometry-optimized Zr5Te structure.

The structure in POSCAR format:
```
Zr5Te
1.0
5.510 0.000 0.000
-2.755 4.772 0.000
0.000 0.000 5.207
Zr Te
5 1
direct
0.000 0.677 0.000
0.323 0.323 0.000
0.333 0.667 0.500
0.667 0.333 0.500
0.677 0.000 0.000
0.000 0.000 0.500
```

Its symmetry is P-62m (189). As for the size of the total moment: 0.00 Bohr magnetons per cell. Its uncorrected formation energy is -15.6 kJ/mol of atoms. The relative energy among the computed polymorphs is 1.550 kcal/mol of atoms. The value obtained for the total energy is -0.5739 Ry per atom.

Density functional theory data (PBE-GGA) for a geometry-optimized BaHg2PtBr structure.

The structure in POSCAR format:
```
BaHg2PtBr
1.0
5.290 0.000 0.000
0.000 5.290 0.000
0.000 0.000 6.121
Ba Hg Pt Br
1 2 1 1
direct
0.000 0.000 0.000
0.000 0.500 0.500
0.500 0.000 0.500
0.000 0.000 0.500
0.500 0.500 0.000
```

Its symmetry is P4/mmm (123). As for the size of the total moment: 0.00 Bohr magnetons per cell. Its uncorrected formation energy is -75.8 kJ/mol of atoms. The value obtained for the total energy is -0.2082 Ry per atom.

> What is the size of the total moment in the second record?

0.00 Bohr magnetons per cell

> size of the total moment of number 1 (Zr5Te)?

0.00 Bohr magnetons per cell